Entry 1:
The following is a PBE calculation of a geometry-optimized TbTcRh structure, from the Alexandria database.

a = 4.776 Å, b = 3.375 Å, c = 9.855 Å
α = 90.00°, β = 90.00°, γ = 135.04°
Site moments in Bohr magnetons follow the coordinates.
Fractional coordinates of all 6 atoms:
Tc (0.194, 0.389, 0.126)  0.12
Tc (0.194, 0.389, 0.874)  0.12
Rh (0.194, 0.389, 0.500)  0.01
Rh (0.695, 0.389, 0.000)  0.21
Tb (0.694, 0.389, 0.324)  0.00
Tb (0.694, 0.389, 0.676)  0.00

## Properties
Its energy of formation is -0.092 eV per atom.

Entry 2:
The following is a PBE calculation of a geometry-optimized Tb2TcRh structure, from the Alexandria database.

a = 3.440 Å, b = 3.440 Å, c = 6.892 Å
α = 90.00°, β = 90.00°, γ = 90.00°
Site moments in Bohr magnetons follow the coordinates.
Fractional coordinates of all 4 atoms:
Rh (0.500, 0.500, 0.500)  0.02
Tc (0.500, 0.500, 0.000)  0.37
Tb (0.000, 0.000, 0.751)  0.00
Tb (0.000, 0.000, 0.249)  0.00

## Properties
Its energy of formation is -0.311 eV per atom.

Entry 3:
The following is a PBE calculation of a geometry-optimized TbThTcRh structure, from the Alexandria database.

a = 4.951 Å, b = 4.951 Å, c = 4.951 Å
α = 60.00°, β = 60.00°, γ = 60.00°
Fractional coordinates of all 4 atoms:
Tb (0.750, 0.750, 0.750)
Rh (0.000, 0.000, 0.000)
Tc (0.500, 0.500, 0.500)
Th (0.250, 0.250, 0.250)

## Properties
Its energy of formation is -0.408 eV per atom.

Entry 4:
The following is a PBE calculation of a geometry-optimized TbZrTcRh structure, from the Alexandria database.

a = 4.748 Å, b = 4.748 Å, c = 4.748 Å
α = 60.00°, β = 60.00°, γ = 60.00°
Fractional coordinates of all 4 atoms:
Zr (0.500, 0.500, 0.500)
Rh (0.750, 0.750, 0.750)
Tb (0.000, 0.000, 0.000)
Tc (0.250, 0.250, 0.250)

## Properties
Its energy of formation is -0.461 eV per atom.

Entry 5:
The following is a PBE calculation of a geometry-optimized Tb4Te2Rh structure, from the Alexandria database.

a = 4.243 Å, b = 7.940 Å, c = 12.402 Å
α = 90.00°, β = 90.00°, γ = 90.00°
Fractional coordinates of all 14 atoms:
Tb (0.000, 0.138, 0.700)
Tb (0.500, 0.295, 0.945)
Tb (0.500, 0.795, 0.555)
Tb (0.500, 0.205, 0.445)
Tb (0.000, 0.362, 0.200)
Tb (0.000, 0.638, 0.800)
Tb (0.500, 0.705, 0.055)
Tb (0.000, 0.862, 0.300)
Te (0.500, 0.429, 0.667)
Te (0.500, 0.929, 0.833)
Te (0.500, 0.571, 0.333)
Te (0.500, 0.071, 0.167)
Rh (0.000, 0.000, 0.500)
Rh (0.000, 0.500, 0.000)

## Properties
Its raw formation energy is -1000 meV per atom.

Entry 6:
The following is a PBE calculation of a geometry-optimized Tb3TeRh structure, from the Alexandria database.

a = 6.913 Å, b = 9.705 Å, c = 9.705 Å
α = 73.68°, β = 82.14°, γ = 82.14°
Fractional coordinates of all 20 atoms:
Tb (0.541, 0.530, 0.662)
Tb (0.946, 0.987, 0.815)
Tb (0.043, 0.350, 0.846)
Tb (0.041, 0.662, 0.530)
Tb (0.054, 0.013, 0.185)
Tb (0.543, 0.846, 0.350)
Tb (0.446, 0.815, 0.987)
Tb (0.959, 0.338, 0.470)
Tb (0.554, 0.185, 0.013)
Tb (0.459, 0.470, 0.338)
Tb (0.457, 0.154, 0.650)
Tb (0.957, 0.650, 0.154)
Rh (0.750, 0.269, 0.731)
Rh (0.750, 0.913, 0.087)
Rh (0.250, 0.731, 0.269)
Rh (0.250, 0.087, 0.913)
Te (0.176, 0.652, 0.841)
Te (0.676, 0.841, 0.652)
Te (0.824, 0.348, 0.159)
Te (0.324, 0.159, 0.348)

## Properties
Its raw formation energy is -832 meV per atom. For the energy above the lowest structure with this stoichiometry, the calculation gives 73 meV/atom.

Entry 7:
The following is a PBE calculation of a geometry-optimized Tb5Te2Rh2 structure, from the Alexandria database.

a = 7.790 Å, b = 7.845 Å, c = 8.747 Å
α = 116.64°, β = 90.00°, γ = 90.00°
Fractional coordinates of all 18 atoms:
Tb (0.158, 0.457, 0.235)
Tb (0.342, 0.957, 0.235)
Tb (0.842, 0.543, 0.765)
Tb (0.158, 0.222, 0.765)
Tb (0.842, 0.778, 0.235)
Tb (0.658, 0.043, 0.765)
Tb (0.500, 0.500, 0.000)
Tb (0.342, 0.722, 0.765)
Tb (0.658, 0.278, 0.235)
Tb (0.000, 0.000, 0.000)
Rh (0.638, 0.861, 0.000)
Rh (0.862, 0.361, 0.000)
Rh (0.138, 0.639, 0.000)
Rh (0.362, 0.139, 0.000)
Te (0.500, 0.291, 0.581)
Te (0.500, 0.709, 0.419)
Te (0.000, 0.791, 0.581)
Te (0.000, 0.209, 0.419)

## Properties
Its raw formation energy is -1015 meV per atom.

Entry 8:
The following is a PBE calculation of a geometry-optimized Tb3TeRh structure, from the Alexandria database.

a = 4.080 Å, b = 11.496 Å, c = 11.633 Å
α = 90.00°, β = 90.00°, γ = 90.00°
Fractional coordinates of all 20 atoms:
Tb (0.250, 0.669, 0.540)
Tb (0.750, 0.331, 0.460)
Tb (0.750, 0.051, 0.615)
Tb (0.250, 0.831, 0.040)
Tb (0.250, 0.281, 0.723)
Tb (0.750, 0.781, 0.777)
Tb (0.750, 0.719, 0.277)
Tb (0.750, 0.449, 0.115)
Tb (0.250, 0.551, 0.885)
Tb (0.750, 0.169, 0.960)
Tb (0.250, 0.949, 0.385)
Tb (0.250, 0.219, 0.223)
Te (0.250, 0.500, 0.325)
Te (0.750, 0.000, 0.175)
Te (0.250, 0.000, 0.825)
Te (0.750, 0.500, 0.675)
Rh (0.250, 0.173, 0.499)
Rh (0.750, 0.827, 0.501)
Rh (0.250, 0.327, 0.999)
Rh (0.750, 0.673, 0.001)

## Properties
Its raw formation energy is -905 meV per atom. For the energy above the lowest structure with this stoichiometry, the calculation gives 0 meV/atom.

Entry 9:
The following is a PBE calculation of a geometry-optimized Tb4TeRh structure, from the Alexandria database.

a = 5.423 Å, b = 10.700 Å, c = 9.601 Å
α = 121.92°, β = 90.00°, γ = 104.68°
Fractional coordinates of all 12 atoms:
Tb (0.601, 0.202, 0.681)
Tb (0.201, 0.401, 0.006)
Tb (0.399, 0.798, 0.319)
Tb (0.028, 0.056, 0.347)
Tb (0.799, 0.599, 0.994)
Tb (0.751, 0.503, 0.322)
Tb (0.249, 0.497, 0.678)
Tb (0.972, 0.944, 0.653)
Te (0.165, 0.330, 0.286)
Te (0.835, 0.670, 0.714)
Rh (0.114, 0.229, 0.675)
Rh (0.886, 0.771, 0.325)

## Properties
Its raw formation energy is -497 meV per atom. For the energy above the lowest structure with this stoichiometry, the calculation gives 290 meV/atom.

Entry 10:
The following is a PBE calculation of a geometry-optimized Tb4TeRh structure, from the Alexandria database.

a = 3.952 Å, b = 8.312 Å, c = 19.543 Å
α = 90.00°, β = 90.00°, γ = 90.00°
Fractional coordinates of all 24 atoms:
Rh (0.750, 0.230, 0.450)
Rh (0.250, 0.270, 0.950)
Rh (0.250, 0.770, 0.550)
Rh (0.750, 0.730, 0.050)
Tb (0.750, 0.866, 0.649)
Tb (0.750, 0.356, 0.050)
Tb (0.750, 0.856, 0.450)
Tb (0.750, 0.366, 0.851)
Tb (0.750, 0.456, 0.283)
Tb (0.250, 0.634, 0.149)
Tb (0.750, 0.515, 0.568)
Tb (0.750, 0.956, 0.217)
Tb (0.250, 0.644, 0.950)
Tb (0.250, 0.144, 0.550)
Tb (0.250, 0.485, 0.432)
Tb (0.250, 0.044, 0.783)
Tb (0.250, 0.985, 0.068)
Tb (0.750, 0.015, 0.932)
Tb (0.250, 0.134, 0.351)
Tb (0.250, 0.544, 0.717)
Te (0.750, 0.747, 0.813)
Te (0.750, 0.247, 0.687)
Te (0.250, 0.753, 0.313)
Te (0.250, 0.253, 0.187)

## Properties
Its raw formation energy is -787 meV per atom. For the energy above the lowest structure with this stoichiometry, the calculation gives 0 meV/atom.

Entry 11:
The following is a PBE calculation of a geometry-optimized Tb3Te2Rh structure, from the Alexandria database.

a = 4.154 Å, b = 6.052 Å, c = 7.953 Å
α = 112.37°, β = 90.00°, γ = 90.00°
Fractional coordinates of all 6 atoms:
Te (0.500, 0.340, 0.680)
Te (0.500, 0.660, 0.320)
Rh (0.000, 0.000, 0.000)
Tb (0.500, 0.876, 0.752)
Tb (0.500, 0.124, 0.248)
Tb (0.000, 0.500, 0.000)

## Properties
Its raw formation energy is -1009 meV per atom. For the energy above the lowest structure with this stoichiometry, the calculation gives 99 meV/atom.

Entry 12:
The following is a PBE calculation of a geometry-optimized Tb7Te2Rh2 structure, from the Alexandria database.

a = 7.764 Å, b = 7.133 Å, c = 7.133 Å
α = 106.86°, β = 97.97°, γ = 97.97°
Fractional coordinates of all 11 atoms:
Te (0.500, 0.298, 0.702)
Te (0.500, 0.702, 0.298)
Tb (0.796, 0.567, 0.567)
Tb (0.204, 0.433, 0.433)
Tb (0.206, 0.464, 0.928)
Tb (0.206, 0.928, 0.464)
Tb (0.794, 0.072, 0.536)
Tb (0.794, 0.536, 0.072)
Tb (0.000, 0.000, 0.000)
Rh (0.865, 0.267, 0.267)
Rh (0.135, 0.733, 0.733)

## Properties
Its raw formation energy is -486 meV per atom. For the energy above the lowest structure with this stoichiometry, the calculation gives 384 meV/atom.